PBE GaSb2TeMo, relaxed; calculated density = 6.14 g cm⁻³; energy relative to the elements, uncorrected = 1.1434 eV per atom; calculated total energy = -0.144 hartree per atom; space group = P4/mmm, No. 123
1.0
5.2102 0.0000 0.0000
0.0000 5.2102 0.0000
0.0000 0.0000 5.3478
Sb Mo Te Ga
2 1 1 1
direct
0.0000 0.5000 0.0000 Sb
0.5000 0.0000 0.0000 Sb
0.5000 0.5000 0.5000 Mo
0.0000 0.0000 0.5000 Te
0.0000 0.0000 0.0000 Ga

PBE ScGa2Mo, relaxed; calculated density = 6.63 g cm⁻³; calculated total energy = -0.217 hartree per atom; space group = R-3m, No. 166
1.0
2.9887 0.0000 0.0000
1.4944 2.5883 0.0000
1.4944 0.8628 9.0725
Sc Mo Ga
1 1 2
direct
0.5000 0.5000 0.5000 Sc
0.0000 0.0000 0.0000 Mo
0.2551 0.2551 0.2348 Ga
0.7449 0.7449 0.7652 Ga

Question: The highest calculated density belongs to which entry?
Answer: ScGa2Mo

Question: Which value of calculated total energy does entry 1 give?
Answer: -0.144 hartree per atom